Entry 1:
! Ta6AuC | the Alexandria database | PBE | optimized geometry; values from VASP
&SYSTEM
  ibrav = 0, nat = 8, ntyp = 3
/
ATOMIC_SPECIES
Ta 180.95 Ta.upf
Au 196.97 Au.upf
C 12.01 C.upf
CELL_PARAMETERS angstrom
4.987 0.000 0.000
-0.388 5.300 0.000
-1.607 -0.942 5.109
ATOMIC_POSITIONS crystal
Ta 0.059 0.293 0.140
Ta 0.217 0.854 0.440
Ta 0.389 0.409 0.727
Ta 0.611 0.591 0.273
Ta 0.783 0.146 0.560
Ta 0.941 0.707 0.860
Au 0.500 0.000 0.000
C 0.000 0.500 0.500
! Total DFT energy (no corrections) in eV per atom: -10.5378
! Magnetic moment in μB per formula unit: 0.00

***

Entry 2:
! Ta2AuC2 | the Alexandria database | PBE | optimized geometry; values from VASP
&SYSTEM
  ibrav = 0, nat = 5, ntyp = 3
/
ATOMIC_SPECIES
Ta 180.95 Ta.upf
Au 196.97 Au.upf
C 12.01 C.upf
CELL_PARAMETERS angstrom
-2.161 2.161 4.006
2.161 -2.161 4.006
2.161 2.161 -4.006
ATOMIC_POSITIONS crystal
Ta 0.250 0.750 0.500
Ta 0.750 0.250 0.500
Au 0.000 0.000 0.000
C 0.278 0.278 0.000
C 0.722 0.722 0.000
! Energy above the lowest structure with this stoichiometry in eV/atom: 0.000
! Total DFT energy (no corrections) in eV per atom: -8.9776
! Magnetic moment in μB per formula unit: 0.00

***

Entry 3:
! Ta5AuC | the Alexandria database | PBE | optimized geometry; values from VASP
&SYSTEM
  ibrav = 0, nat = 14, ntyp = 3
/
ATOMIC_SPECIES
Ta 180.95 Ta.upf
Au 196.97 Au.upf
C 12.01 C.upf
CELL_PARAMETERS angstrom
3.809 -4.058 0.000
3.809 4.058 0.000
-1.412 0.000 7.565
ATOMIC_POSITIONS crystal
Ta 0.108 0.648 0.372
Ta 0.113 0.887 0.750
Ta 0.178 0.350 0.984
Ta 0.350 0.178 0.484
Ta 0.352 0.892 0.128
Ta 0.648 0.108 0.872
Ta 0.650 0.822 0.516
Ta 0.822 0.650 0.016
Ta 0.887 0.113 0.250
Ta 0.892 0.352 0.628
Au 0.444 0.556 0.750
Au 0.556 0.444 0.250
C 0.000 0.000 0.000
C 0.000 0.000 0.500
! Total DFT energy (no corrections) in eV per atom: -10.3970
! Magnetic moment in μB per formula unit: 0.00

***

Entry 4:
! TaTiAuC | the Alexandria database | PBE | optimized geometry; values from VASP
&SYSTEM
  ibrav = 0, nat = 4, ntyp = 4
/
ATOMIC_SPECIES
Ta 180.95 Ta.upf
Ti 47.87 Ti.upf
Au 196.97 Au.upf
C 12.01 C.upf
CELL_PARAMETERS angstrom
1.563 0.902 6.899
-1.563 0.902 6.899
0.000 -1.804 6.899
ATOMIC_POSITIONS crystal
Ta 0.000 0.000 0.000
Ti 0.780 0.780 0.780
Au 0.555 0.555 0.555
C 0.391 0.391 0.391
! Total DFT energy (no corrections) in eV per atom: -8.6088
! Magnetic moment in μB per formula unit: 0.00

***

Entry 5:
! TaVAuC2 | the Alexandria database | PBE | optimized geometry; values from VASP
&SYSTEM
  ibrav = 0, nat = 5, ntyp = 4
/
ATOMIC_SPECIES
Ta 180.95 Ta.upf
V 50.94 V.upf
Au 196.97 Au.upf
C 12.01 C.upf
CELL_PARAMETERS angstrom
3.875 0.000 0.000
0.000 3.875 0.000
0.000 0.000 4.984
ATOMIC_POSITIONS crystal
Ta 0.000 0.000 0.000
V 0.500 0.500 0.500
Au 0.500 0.500 0.000
C 0.000 0.500 0.500
C 0.500 0.000 0.500
! Total DFT energy (no corrections) in eV per atom: -6.9961
! Magnetic moment in μB per formula unit: 0.00

***

Entry 6:
! TaV2AuC | the Alexandria database | PBE | optimized geometry; values from VASP
&SYSTEM
  ibrav = 0, nat = 5, ntyp = 4
/
ATOMIC_SPECIES
Ta 180.95 Ta.upf
V 50.94 V.upf
Au 196.97 Au.upf
C 12.01 C.upf
CELL_PARAMETERS angstrom
4.021 0.000 0.000
0.000 4.021 0.000
0.000 0.000 4.293
ATOMIC_POSITIONS crystal
Ta 0.000 0.000 0.000
V 0.000 0.500 0.500
V 0.500 0.000 0.500
Au 0.500 0.500 0.000
C 0.000 0.000 0.500
! Total DFT energy (no corrections) in eV per atom: -8.7700
! Magnetic moment in μB per formula unit: 0.00

***

Entry 7:
! Ta2VAuC | the Alexandria database | PBE | optimized geometry; values from VASP
&SYSTEM
  ibrav = 0, nat = 5, ntyp = 4
/
ATOMIC_SPECIES
Ta 180.95 Ta.upf
V 50.94 V.upf
Au 196.97 Au.upf
C 12.01 C.upf
CELL_PARAMETERS angstrom
4.314 0.000 0.000
0.000 4.314 0.000
0.000 0.000 3.981
ATOMIC_POSITIONS crystal
Ta 0.000 0.500 0.000
Ta 0.500 0.000 0.000
V 0.000 0.000 0.500
Au 0.500 0.500 0.500
C 0.000 0.000 0.000
! Total DFT energy (no corrections) in eV per atom: -9.3178
! Magnetic moment in μB per formula unit: 0.00

***

Entry 8:
! Zr2TaAuC | the Alexandria database | PBE | optimized geometry; values from VASP
&SYSTEM
  ibrav = 0, nat = 5, ntyp = 4
/
ATOMIC_SPECIES
Zr 91.22 Zr.upf
Ta 180.95 Ta.upf
Au 196.97 Au.upf
C 12.01 C.upf
CELL_PARAMETERS angstrom
4.553 0.000 0.000
0.000 4.553 0.000
0.000 0.000 4.258
ATOMIC_POSITIONS crystal
Zr 0.000 0.500 0.000
Zr 0.500 0.000 0.000
Ta 0.000 0.000 0.500
Au 0.500 0.500 0.500
C 0.000 0.000 0.000
! Total DFT energy (no corrections) in eV per atom: -8.7207
! Magnetic moment in μB per formula unit: 0.50